Material: Ac2PmPr5Dy
Method: DFT, PBE-GGA
State: relaxed

Geometry as extended XYZ:
```
18
Lattice="2.943 -10.475 0.000 2.943 10.475 0.000 0.000 0.000 11.075" Properties=species:S:1:pos:R:3 pbc="T T T"
Ac 2.943 8.127 5.537
Ac 2.943 7.995 0.960
Ac 2.943 -7.995 6.498
Ac 2.943 -8.127 0.000
Pm 2.943 6.147 8.566
Pm 2.943 -6.147 3.029
Pr 2.943 10.069 8.750
Pr 2.943 4.559 0.829
Pr 2.943 4.303 5.155
Pr 2.943 2.241 8.752
Pr 2.943 0.388 5.648
Pr 2.943 -0.388 0.111
Pr 2.943 -2.241 3.215
Pr 2.943 -4.303 10.692
Pr 2.943 -4.559 6.366
Pr 2.943 -10.069 3.213
Dy 2.943 1.926 2.576
Dy 2.943 -1.926 8.113
```

Summary:
Energy in eV per atom: -4.481
ΔE_f in kJ/mol of formula units: 109
N(E_F) in states/eV per cell: 25.48
Symmetry: Cmc2_1, No. 36
Magnetic moment in μB per atom: 0.0000

=====

Material: AcPm5Pr2Dy
Method: DFT, PBE-GGA
State: relaxed

Geometry as extended XYZ:
```
18
Lattice="-4.498 4.498 7.993 4.498 -4.498 7.993 4.498 4.498 -7.993" Properties=species:S:1:pos:R:3 pbc="T T T"
Ac 0.000 0.000 3.997
Ac 0.000 0.000 11.990
Pm 0.000 0.000 0.000
Pm 6.350 1.852 -2.152
Pm 1.852 2.646 -2.152
Pm 6.350 1.852 2.152
Pm 1.852 2.646 2.152
Pm 0.000 0.000 7.993
Pm 2.646 1.852 5.842
Pm -1.852 2.646 5.842
Pm 2.646 1.852 10.145
Pm -1.852 2.646 10.145
Pr 3.438 1.060 0.000
Pr 3.438 -1.060 7.993
Pr 1.060 5.558 0.000
Pr 1.060 3.438 7.993
Dy 4.498 0.000 3.997
Dy 0.000 4.498 3.997
```

Summary:
Energy in eV per atom: -4.419
ΔE_f in kJ/mol of formula units: 217
N(E_F) in states/eV per cell: 21.82
Symmetry: I4/mcm, No. 140
Magnetic moment in μB per atom: 0.0000

=====

Material: Ac3Pm3DyS8
Method: DFT, PBE-GGA
State: relaxed

Geometry as extended XYZ:
```
15
Lattice="4.099 2.367 6.919 -4.099 2.367 6.919 0.000 -4.733 6.919" Properties=species:S:1:pos:R:3 pbc="T T T"
Ac -2.050 -1.183 6.919
Ac -2.050 1.183 13.839
Ac 0.000 2.367 6.919
Pm -4.099 0.000 10.379
Pm -2.050 1.183 3.460
Pm 2.050 1.183 3.460
Dy 0.000 0.000 10.379
S 0.000 0.000 5.065
S -2.002 -1.156 11.951
S 0.000 -2.311 8.807
S -2.002 1.156 8.807
S 2.002 -1.156 11.951
S 0.000 2.311 11.951
S 2.002 1.156 8.807
S 0.000 0.000 15.693
```

Summary:
Energy in eV per atom: -6.327
Energy relative to the elements, uncorrected in meV per atom: -2047
N(E_F) in states/eV per cell: 7.11
Symmetry: R-3m, No. 166
Magnetic moment in μB per atom: 0.0000

=====

Material: AcPm2DyS4
Method: DFT, PBE-GGA
State: relaxed

Geometry as extended XYZ:
```
8
Lattice="7.021 0.000 0.000 0.000 4.027 0.000 -2.319 0.000 6.780" Properties=species:S:1:pos:R:3 pbc="T T T"
Ac 0.000 0.000 0.000
Pm 2.351 0.000 3.390
Pm 3.510 2.013 0.000
Dy -1.160 2.013 3.390
S 0.023 0.000 4.980
S 1.186 2.013 1.813
S 3.516 2.013 4.968
S 4.679 0.000 1.800
```

Summary:
Energy in eV per atom: -6.324
Energy relative to the elements, uncorrected in meV per atom: -1984
N(E_F) in states/eV per cell: 4.62
Symmetry: P2/m, No. 10
Magnetic moment in μB per atom: 0.0000

=====

Material: AcPmDy4S8
Method: DFT, PBE-GGA
State: relaxed

Geometry as extended XYZ:
```
14
Lattice="4.090 2.361 6.743 -4.090 2.361 6.743 0.000 -4.722 6.743" Properties=species:S:1:pos:R:3 pbc="T T T"
Ac 0.000 0.000 0.000
Pm 0.000 0.000 12.608
Dy -2.011 -1.161 9.304
Dy 0.000 0.000 5.087
Dy 2.010 -1.161 9.304
Dy 0.000 2.322 9.304
S 0.000 -2.285 10.874
S -1.978 1.142 10.874
S 0.000 0.000 7.743
S -1.822 -1.052 14.494
S 1.978 1.142 10.874
S 0.000 0.000 17.401
S 1.822 -1.052 14.494
S 0.000 2.104 14.494
```

Summary:
Energy in eV per atom: -6.234
Energy relative to the elements, uncorrected in meV per atom: -1928
N(E_F) in states/eV per cell: 8.45
Symmetry: R3m, No. 160
Magnetic moment in μB per atom: 0.0000

=====

Material: Ac3PmDy2S6
Method: DFT, PBE-GGA
State: relaxed

Geometry as extended XYZ:
```
12
Lattice="3.516 -6.105 0.000 3.516 6.105 0.000 -2.359 0.000 6.941" Properties=species:S:1:pos:R:3 pbc="T T T"
Ac 0.000 0.000 0.000
Ac 3.516 2.006 0.000
Ac 3.516 -2.006 0.000
Pm 2.336 0.000 3.470
Dy 2.336 4.070 3.470
Dy 2.336 -4.070 3.470
S 1.143 2.079 1.924
S -0.063 0.000 5.000
S 1.143 -2.079 1.924
S 3.530 2.079 5.017
S 4.736 0.000 1.941
S 3.530 -2.079 5.017
```

Summary:
Energy in eV per atom: -6.250
Energy relative to the elements, uncorrected in meV per atom: -1997
N(E_F) in states/eV per cell: 5.12
Symmetry: C2/m, No. 12
Magnetic moment in μB per atom: 0.0000

=====

Material: AcPm2DySb4
Method: DFT, PBE-GGA
State: relaxed

Geometry as extended XYZ:
```
8
Lattice="7.873 0.000 0.000 0.000 4.551 0.000 -2.619 0.000 7.433" Properties=species:S:1:pos:R:3 pbc="T T T"
Ac 0.000 0.000 0.000
Pm -1.310 2.275 3.717
Pm 2.627 0.000 3.717
Dy 3.937 2.275 0.000
Sb 0.084 0.000 5.570
Sb 1.397 2.275 1.922
Sb 3.857 2.275 5.511
Sb 5.170 0.000 1.863
```

Summary:
Energy in eV per atom: -5.487
Energy relative to the elements, uncorrected in meV per atom: -1149
N(E_F) in states/eV per cell: 0.89
Symmetry: P2/m, No. 10
Magnetic moment in μB per atom: 0.0000

=====

Material: AcPmDy2Sb4
Method: DFT, PBE-GGA
State: relaxed

Geometry as extended XYZ:
```
8
Lattice="7.820 0.000 0.000 0.000 4.523 0.000 -2.611 0.000 7.386" Properties=species:S:1:pos:R:3 pbc="T T T"
Ac 0.000 0.000 0.000
Pm -1.305 2.262 3.693
Dy 2.604 0.000 3.693
Dy 3.910 2.262 0.000
Sb 0.101 0.000 5.517
Sb 1.409 2.262 1.945
Sb 3.800 2.262 5.441
Sb 5.108 0.000 1.869
```

Summary:
Energy in eV per atom: -5.462
Energy relative to the elements, uncorrected in meV per atom: -1143
N(E_F) in states/eV per cell: 1.05
Symmetry: P2/m, No. 10
Magnetic moment in μB per atom: 0.0000

=====

Material: Ac2PmDySb4
Method: DFT, PBE-GGA
State: relaxed

Geometry as extended XYZ:
```
8
Lattice="8.002 0.000 0.000 0.000 4.623 0.000 -2.666 0.000 7.546" Properties=species:S:1:pos:R:3 pbc="T T T"
Ac 0.000 0.000 0.000
Ac 4.001 2.311 0.000
Pm -1.333 2.311 3.773
Dy 2.668 0.000 3.773
Sb 0.026 0.000 5.517
Sb 1.358 2.311 2.045
Sb 3.977 2.311 5.501
Sb 5.309 0.000 2.029
```

Summary:
Energy in eV per atom: -5.426
Energy relative to the elements, uncorrected in meV per atom: -1168
N(E_F) in states/eV per cell: 1.02
Symmetry: P2/m, No. 10
Magnetic moment in μB per atom: 0.0000

=====

Material: Ac4Pm3DySe8
Method: DFT, PBE-GGA
State: relaxed

Geometry as extended XYZ:
```
16
Lattice="4.288 2.476 7.139 -4.288 2.476 7.139 0.000 -4.952 7.139" Properties=species:S:1:pos:R:3 pbc="T T T"
Ac 0.000 0.000 0.000
Ac -2.144 -1.238 7.139
Ac -2.144 1.238 14.278
Ac 0.000 2.476 7.139
Pm -4.288 0.000 10.709
Pm -2.144 1.238 3.570
Pm 2.144 1.238 3.570
Dy 0.000 0.000 10.709
Se 0.000 0.000 5.224
Se -2.107 -1.216 12.334
Se 0.000 -2.433 9.083
Se -2.107 1.216 9.083
Se 2.107 -1.216 12.334
Se 0.000 2.433 12.334
Se 2.107 1.216 9.083
Se 0.000 0.000 16.193
```

Summary:
Energy in eV per atom: -5.776
Energy relative to the elements, uncorrected in meV per atom: -1828
N(E_F) in states/eV per cell: 9.23
Symmetry: R-3m, No. 166
Magnetic moment in μB per atom: 0.0000

=====

Material: AcPm2DySe4
Method: DFT, PBE-GGA
State: relaxed

Geometry as extended XYZ:
```
8
Lattice="7.271 0.000 0.000 0.000 4.171 0.000 -2.400 0.000 7.112" Properties=species:S:1:pos:R:3 pbc="T T T"
Ac 0.000 0.000 0.000
Pm 2.435 0.000 3.556
Pm 3.635 2.086 0.000
Dy -1.200 2.086 3.556
Se 0.028 0.000 5.231
Se 1.231 2.086 1.896
Se 3.639 2.086 5.216
Se 4.842 0.000 1.881
```

Summary:
Energy in eV per atom: -5.812
Energy relative to the elements, uncorrected in meV per atom: -1794
N(E_F) in states/eV per cell: 4.46
Symmetry: P2/m, No. 10
Magnetic moment in μB per atom: 0.0000

=====

Material: AcPmDy2Se4
Method: DFT, PBE-GGA
State: relaxed

Geometry as extended XYZ:
```
8
Lattice="7.173 0.000 0.000 0.000 4.119 0.000 -2.377 0.000 7.127" Properties=species:S:1:pos:R:3 pbc="T T T"
Ac 0.000 0.000 0.000
Pm 3.587 2.059 0.000
Dy -1.188 2.059 3.563
Dy 2.398 0.000 3.563
Se 0.056 0.000 5.214
Se 1.248 2.059 1.953
Se 3.548 2.059 5.174
Se 4.741 0.000 1.913
```

Summary:
Energy in eV per atom: -5.786
Energy relative to the elements, uncorrected in meV per atom: -1786
N(E_F) in states/eV per cell: 3.81
Symmetry: P2/m, No. 10
Magnetic moment in μB per atom: 0.0000

=====

Material: Ac2PmDySe6
Method: DFT, PBE-GGA
State: relaxed

Geometry as extended XYZ:
```
10
Lattice="3.812 2.201 6.575 -3.812 2.201 6.575 0.000 -4.402 6.575" Properties=species:S:1:pos:R:3 pbc="T T T"
Ac 0.000 0.000 0.000
Ac 0.000 0.000 9.843
Pm 0.000 0.000 4.128
Dy 0.000 0.000 13.962
Se -1.362 -2.576 8.782
Se -2.214 0.226 12.097
Se -1.550 2.468 8.782
Se 0.911 -2.030 12.097
Se 2.912 0.108 8.782
Se 1.303 1.804 12.097
```

Summary:
Energy in eV per atom: -5.767
Energy relative to the elements, uncorrected in meV per atom: -1919
N(E_F) in states/eV per cell: 0.00
Symmetry: R3, No. 146
Magnetic moment in μB per atom: 0.0000

=====

Material: AcPm3Dy2Se6
Method: DFT, PBE-GGA
State: relaxed

Geometry as extended XYZ:
```
12
Lattice="3.637 -6.322 0.000 3.637 6.322 0.000 -2.448 0.000 6.858" Properties=species:S:1:pos:R:3 pbc="T T T"
Ac 0.000 0.000 0.000
Pm 2.413 4.333 3.429
Pm 2.413 0.000 3.429
Pm 2.413 -4.333 3.429
Dy 3.637 2.112 0.000
Dy 3.637 -2.112 0.000
Se 1.269 2.218 1.720
Se 0.111 0.000 5.203
Se 1.269 -2.218 1.720
Se 3.557 2.218 5.138
Se 4.714 0.000 1.655
Se 3.557 -2.218 5.138
```

Summary:
Energy in eV per atom: -5.835
Energy relative to the elements, uncorrected in meV per atom: -1795
N(E_F) in states/eV per cell: 5.75
Symmetry: C2/m, No. 12
Magnetic moment in μB per atom: 0.0000

=====

Material: Ac2PmDySe4
Method: DFT, PBE-GGA
State: relaxed

Geometry as extended XYZ:
```
8
Lattice="7.321 0.000 0.000 0.000 4.198 0.000 -2.417 0.000 7.319" Properties=species:S:1:pos:R:3 pbc="T T T"
Ac 0.000 0.000 0.000
Ac 3.660 2.099 0.000
Pm -1.209 2.099 3.659
Dy 2.452 0.000 3.659
Se 0.056 0.000 5.320
Se 1.268 2.099 2.026
Se 3.636 2.099 5.293
Se 4.848 0.000 1.999
```

Summary:
Energy in eV per atom: -5.758
Energy relative to the elements, uncorrected in meV per atom: -1819
N(E_F) in states/eV per cell: 3.92
Symmetry: P2/m, No. 10
Magnetic moment in μB per atom: 0.0000

=====

Material: AcPm2Dy3Se6
Method: DFT, PBE-GGA
State: relaxed

Geometry as extended XYZ:
```
12
Lattice="3.576 -6.227 0.000 3.576 6.227 0.000 -2.408 0.000 6.970" Properties=species:S:1:pos:R:3 pbc="T T T"
Ac 0.000 0.000 0.000
Pm 3.576 2.089 0.000
Pm 3.576 -2.089 0.000
Dy 2.372 4.196 3.485
Dy 2.372 0.000 3.485
Dy 2.372 -4.196 3.485
Se 1.219 2.128 1.875
Se 0.049 0.000 5.127
Se 1.219 -2.128 1.875
Se 3.525 2.128 5.095
Se 4.695 0.000 1.843
Se 3.525 -2.128 5.095
```

Summary:
Energy in eV per atom: -5.816
Energy relative to the elements, uncorrected in meV per atom: -1789
N(E_F) in states/eV per cell: 5.71
Symmetry: C2/m, No. 12
Magnetic moment in μB per atom: 0.0000

=====

Material: Ac4PmDy3Se8
Method: DFT, PBE-GGA
State: relaxed

Geometry as extended XYZ:
```
16
Lattice="4.199 2.424 7.290 -4.199 2.424 7.290 0.000 -4.849 7.290" Properties=species:S:1:pos:R:3 pbc="T T T"
Ac 0.000 0.000 0.000
Ac -2.100 -1.212 7.290
Ac -2.100 1.212 14.580
Ac 0.000 2.424 7.290
Pm 0.000 0.000 10.935
Dy -4.199 0.000 10.935
Dy -2.100 1.212 3.645
Dy 2.100 1.212 3.645
Se -2.136 -1.233 12.560
Se 0.000 0.000 5.243
Se 0.000 -2.466 9.311
Se -2.136 1.233 9.311
Se 2.136 -1.233 12.560
Se 0.000 2.466 12.560
Se 0.000 0.000 16.628
Se 2.136 1.233 9.311
```

Summary:
Energy in eV per atom: -5.737
Energy relative to the elements, uncorrected in meV per atom: -1807
N(E_F) in states/eV per cell: 8.32
Symmetry: R-3m, No. 166
Magnetic moment in μB per atom: 0.0000

=====

Material: AcPm2DySe6
Method: DFT, PBE-GGA
State: relaxed

Geometry as extended XYZ:
```
10
Lattice="3.746 2.163 6.620 -3.746 2.163 6.620 0.000 -4.325 6.620" Properties=species:S:1:pos:R:3 pbc="T T T"
Ac 0.000 0.000 0.000
Pm 0.000 0.000 5.715
Pm 0.000 0.000 15.789
Dy 0.000 0.000 9.713
Se -2.158 -0.184 7.773
Se -1.432 -2.107 11.067
Se 1.238 -1.777 7.773
Se -1.109 2.294 11.067
Se 0.920 1.961 7.773
Se 2.541 -0.186 11.067
```

Summary:
Energy in eV per atom: -5.784
Energy relative to the elements, uncorrected in meV per atom: -1873
N(E_F) in states/eV per cell: 0.00
Symmetry: R3, No. 146
Magnetic moment in μB per atom: 0.0000

=====

Material: AcPm5SmDy2
Method: DFT, PBE-GGA
State: relaxed

Geometry as extended XYZ:
```
18
Lattice="2.918 -8.820 0.000 2.918 8.820 0.000 0.000 0.000 12.180" Properties=species:S:1:pos:R:3 pbc="T T T"
Ac 2.918 6.811 6.090
Ac 2.918 -6.811 0.000
Pm 2.918 7.433 10.233
Pm 2.918 7.402 2.007
Pm 2.918 4.076 3.601
Pm 2.918 4.065 8.592
Pm 2.918 1.058 1.803
Pm 2.918 -1.058 7.893
Pm 2.918 -4.065 2.502
Pm 2.918 -4.076 9.691
Pm 2.918 -7.402 8.097
Pm 2.918 -7.433 4.143
Sm 2.918 4.441 0.003
Sm 2.918 -4.441 6.093
Dy 2.918 1.970 6.090
Dy 2.918 1.080 10.392
Dy 2.918 -1.080 4.302
Dy 2.918 -1.970 12.180
```

Summary:
Energy in eV per atom: -4.558
ΔE_f in kJ/mol of formula units: 73
N(E_F) in states/eV per cell: 27.28
Symmetry: Cmc2_1, No. 36
Magnetic moment in μB per atom: 0.0000

=====

Material: AcPmSmDy
Method: DFT, PBE-GGA
State: relaxed

Geometry as extended XYZ:
```
16
Lattice="8.327 0.000 0.000 0.000 8.327 0.000 0.000 0.000 8.327" Properties=species:S:1:pos:R:3 pbc="T T T"
Ac 0.000 0.000 0.000
Ac 0.000 4.163 4.163
Ac 4.163 0.000 4.163
Ac 4.163 4.163 0.000
Pm 0.000 0.000 4.163
Pm 0.000 4.163 0.000
Pm 4.163 0.000 0.000
Pm 4.163 4.163 4.163
Sm 2.082 2.082 2.082
Sm 2.082 6.245 6.245
Sm 6.245 2.082 6.245
Sm 6.245 6.245 2.082
Dy 2.082 2.082 6.245
Dy 2.082 6.245 2.082
Dy 6.245 2.082 2.082
Dy 6.245 6.245 6.245
```

Summary:
Energy in eV per atom: -4.413
Polymorph energy (0 for the lowest one) in eV per atom: 0.0000
ΔE_f in kJ/mol of formula units: 51
N(E_F) in states/eV per cell: 32.40
Symmetry: F-43m, No. 216
Magnetic moment in μB per atom: 0.0001